No. 1
First-principles (PBE-GGA) data for a relaxed Tc2NiAs crystal, as listed in Alexandria via LeMat-Bulk.

abc: 4.238 4.238 4.238
angles: 60.00 60.00 60.00
Sites, in units of the cell vectors:
Ni 0.000 0.000 0.000
As 0.500 0.500 0.500
Tc 0.750 0.750 0.750
Tc 0.250 0.250 0.250

Results
The value obtained for the energy is -7.813 eV/atom. The distance to the lowest polymorph of the same formula is 0.0 kJ/mol of atoms. As for the symmetry: Fm-3m (225). The magnetization comes out at 0.00 μB/cell. The energy of formation from the pure elements is -22 meV per atom.

No. 2
First-principles (PBE-GGA) data for a relaxed Tc2NiAs crystal, as listed in Alexandria via LeMat-Bulk.

abc: 2.902 3.647 5.274
angles: 90.00 90.00 90.00
Sites, in units of the cell vectors:
As 0.000 0.000 0.523
Tc 0.000 0.000 0.002
Ni 0.500 0.500 0.740
Tc 0.500 0.500 0.235

Results
The value obtained for the energy is -7.738 eV/atom. The distance to the lowest polymorph of the same formula is 7.2 kJ/mol of atoms. As for the symmetry: Pmm2 (25). The magnetization comes out at 0.00 μB/cell. The energy of formation from the pure elements is 53 meV per atom.

No. 3
First-principles (PBE-GGA) data for a relaxed TcNi2As crystal, as listed in Alexandria via LeMat-Bulk.

abc: 3.595 3.595 9.060
angles: 78.56 78.56 90.00
Sites, in units of the cell vectors:
Ni 0.375 0.382 0.750
Ni 0.875 0.868 0.750
As 0.250 0.750 0.500
Tc 0.750 0.250 0.500
As 0.500 0.500 0.000
Ni 0.132 0.625 0.250
Tc 0.000 0.000 0.000
Ni 0.618 0.125 0.250

Results
The value obtained for the energy is -6.314 eV/atom. The distance to the lowest polymorph of the same formula is 33.0 kJ/mol of atoms. As for the symmetry: I-42d (122). The magnetization comes out at 3.18 μB/cell. The energy of formation from the pure elements is 331 meV per atom.